# 1
BaB4Pb3O12 | PBE | optimized geometry

Calculated values
- Final energy: -136.89 eV/cell
- Total magnetic moment: 0.00 μB per cell

a = 6.725 Å, b = 6.725 Å, c = 6.725 Å
α = 101.82°, β = 101.82°, γ = 101.82°
Element x y z (fractional)
Ba: 0.000 0.000 0.000
B: 0.038 0.500 0.962
B: 0.500 0.500 0.500
B: 0.500 0.962 0.038
B: 0.962 0.038 0.500
Pb: 0.000 0.533 0.467
Pb: 0.467 0.000 0.533
Pb: 0.533 0.467 0.000
O: 0.006 0.610 0.813
O: 0.098 0.902 0.500
O: 0.187 0.390 0.994
O: 0.367 0.633 0.500
O: 0.390 0.994 0.187
O: 0.500 0.098 0.902
O: 0.500 0.367 0.633
O: 0.610 0.813 0.006
O: 0.633 0.500 0.367
O: 0.813 0.006 0.610
O: 0.902 0.500 0.098
O: 0.994 0.187 0.390

***

# 2
Ba4Zn4B14Pb2O31 | PBE | optimized geometry

Calculated values
- Final energy: -793.74 eV/cell
- Total magnetic moment: 0.00 μB per cell

a = 7.156 Å, b = 7.156 Å, c = 32.248 Å
α = 91.52°, β = 91.52°, γ = 120.13°
Element x y z (fractional)
Ba: 0.023 0.436 0.218
Ba: 0.048 0.952 0.500
Ba: 0.375 0.546 0.422
Ba: 0.436 0.023 0.718
Ba: 0.546 0.375 0.922
Ba: 0.684 0.823 0.298
Ba: 0.823 0.684 0.798
Ba: 0.952 0.048 0.000
Zn: 0.006 0.499 0.335
Zn: 0.054 0.867 0.384
Zn: 0.399 0.632 0.533
Zn: 0.499 0.006 0.835
Zn: 0.632 0.399 0.033
Zn: 0.659 0.746 0.188
Zn: 0.746 0.659 0.688
Zn: 0.867 0.054 0.884
B: 0.040 0.758 0.905
B: 0.044 0.516 0.710
B: 0.078 0.668 0.007
B: 0.095 0.268 0.109
B: 0.119 0.915 0.211
B: 0.160 0.937 0.292
B: 0.162 0.497 0.915
B: 0.206 0.563 0.805
B: 0.268 0.095 0.609
B: 0.303 0.330 0.316
B: 0.312 0.399 0.715
B: 0.330 0.303 0.816
B: 0.347 0.550 0.009
B: 0.399 0.312 0.215
B: 0.434 0.899 0.928
B: 0.475 0.946 0.009
B: 0.497 0.162 0.415
B: 0.509 0.528 0.109
B: 0.516 0.044 0.210
B: 0.528 0.509 0.609
B: 0.550 0.347 0.509
B: 0.563 0.206 0.305
B: 0.668 0.078 0.507
B: 0.758 0.040 0.405
B: 0.899 0.434 0.428
B: 0.915 0.119 0.711
B: 0.937 0.160 0.792
B: 0.946 0.475 0.509
Pb: 0.038 0.769 0.114
Pb: 0.075 0.643 0.609
Pb: 0.643 0.075 0.109
Pb: 0.769 0.038 0.614
O: 0.000 0.543 0.904
O: 0.002 0.396 0.793
O: 0.013 0.688 0.713
O: 0.014 0.381 0.129
O: 0.014 0.546 0.467
O: 0.015 0.578 0.395
O: 0.043 0.788 0.324
O: 0.046 0.832 0.252
O: 0.060 0.951 0.592
O: 0.120 0.288 0.915
O: 0.124 0.622 0.539
O: 0.128 0.501 0.007
O: 0.134 0.138 0.801
O: 0.138 0.134 0.301
O: 0.149 0.187 0.709
O: 0.187 0.149 0.209
O: 0.235 0.922 0.921
O: 0.242 0.880 0.014
O: 0.246 0.770 0.806
O: 0.262 0.566 0.714
O: 0.283 0.500 0.329
O: 0.288 0.120 0.415
O: 0.307 0.883 0.201
O: 0.312 0.336 0.102
O: 0.336 0.312 0.602
O: 0.367 0.663 0.927
O: 0.369 0.518 0.817
O: 0.379 0.380 0.004
O: 0.380 0.379 0.504
O: 0.381 0.014 0.629
O: 0.396 0.002 0.293
O: 0.448 0.520 0.224
O: 0.500 0.283 0.829
O: 0.501 0.128 0.507
O: 0.507 0.758 0.019
O: 0.518 0.369 0.317
O: 0.520 0.448 0.724
O: 0.521 0.684 0.592
O: 0.530 0.702 0.131
O: 0.543 0.000 0.404
O: 0.546 0.014 0.967
O: 0.566 0.262 0.214
O: 0.578 0.015 0.895
O: 0.622 0.124 0.039
O: 0.623 0.870 0.502
O: 0.663 0.367 0.427
O: 0.684 0.521 0.092
O: 0.688 0.013 0.213
O: 0.702 0.530 0.631
O: 0.758 0.507 0.519
O: 0.770 0.246 0.306
O: 0.775 0.943 0.680
O: 0.780 0.870 0.392
O: 0.788 0.043 0.824
O: 0.832 0.046 0.752
O: 0.870 0.623 0.002
O: 0.870 0.780 0.892
O: 0.880 0.242 0.514
O: 0.883 0.307 0.701
O: 0.922 0.235 0.421
O: 0.943 0.775 0.180
O: 0.951 0.060 0.092

***

# 3
Ba4Zn4B14Pb2O31 | PBE | optimized geometry

Calculated values
- Final energy: -396.85 eV/cell
- Total magnetic moment: 0.00 μB per cell

a = 7.124 Å, b = 7.150 Å, c = 16.441 Å
α = 79.74°, β = 83.66°, γ = 60.44°
Element x y z (fractional)
Ba: 0.000 0.000 0.000
Ba: 0.017 0.568 0.247
Ba: 0.287 0.421 0.831
Ba: 0.739 0.154 0.401
Zn: 0.061 0.482 0.467
Zn: 0.348 0.285 0.074
Zn: 0.665 0.284 0.171
Zn: 0.961 0.091 0.783
B: 0.114 0.542 0.629
B: 0.129 0.968 0.212
B: 0.236 0.773 0.414
B: 0.356 0.048 0.420
B: 0.379 0.085 0.259
B: 0.399 0.921 0.827
B: 0.503 0.869 0.016
B: 0.511 0.697 0.233
B: 0.622 0.651 0.423
B: 0.637 0.483 0.988
B: 0.665 0.526 0.826
B: 0.785 0.799 0.835
B: 0.886 0.600 0.037
B: 0.933 0.961 0.625
Pb: 0.425 0.040 0.611
Pb: 0.685 0.439 0.625
O: 0.075 0.566 0.065
O: 0.077 0.732 0.399
O: 0.078 0.741 0.649
O: 0.158 0.116 0.243
O: 0.189 0.977 0.428
O: 0.196 0.087 0.835
O: 0.304 0.755 0.209
O: 0.305 0.366 0.658
O: 0.321 0.196 0.480
O: 0.335 0.072 0.020
O: 0.369 0.159 0.338
O: 0.413 0.234 0.194
O: 0.447 0.724 0.807
O: 0.453 0.606 0.415
O: 0.468 0.715 0.991
O: 0.548 0.852 0.257
O: 0.569 0.966 0.834
O: 0.574 0.851 0.441
O: 0.602 0.333 0.052
O: 0.650 0.412 0.908
O: 0.677 0.491 0.231
O: 0.704 0.381 0.766
O: 0.711 0.813 0.039
O: 0.757 0.051 0.576
O: 0.825 0.483 0.416
O: 0.833 0.596 0.822
O: 0.857 0.452 0.006
O: 0.938 0.003 0.186
O: 0.946 0.840 0.849
O: 0.970 0.532 0.584
O: 0.979 0.100 0.659

***

# 4
Ba3B2PdO6 | PBE | optimized geometry

Calculated values
- Final energy: -80.91 eV/cell
- Total magnetic moment: 0.00 μB per cell

a = 5.572 Å, b = 5.572 Å, c = 7.870 Å
α = 90.00°, β = 90.00°, γ = 120.00°
Element x y z (fractional)
Ba: 0.000 0.000 0.000
Ba: 0.333 0.667 0.668
Ba: 0.667 0.333 0.332
B: 0.333 0.667 0.242
B: 0.667 0.333 0.758
Pd: 0.000 0.000 0.500
O: 0.189 0.379 0.244
O: 0.189 0.811 0.244
O: 0.379 0.189 0.756
O: 0.621 0.811 0.244
O: 0.811 0.189 0.756
O: 0.811 0.621 0.756

***

# 5
Ba2B2PdO6 | PBE | optimized geometry

Calculated values
- Final energy: -76.03 eV/cell
- Total magnetic moment: 2.01 μB per cell

a = 6.606 Å, b = 6.606 Å, c = 6.606 Å
α = 49.06°, β = 49.06°, γ = 49.06°
Element x y z (fractional)
Ba: 0.223 0.223 0.223
Ba: 0.777 0.777 0.777
B: 0.414 0.414 0.414
B: 0.586 0.586 0.586
Pd: 0.000 0.000 0.000
O: 0.269 0.269 0.710
O: 0.269 0.710 0.269
O: 0.290 0.731 0.731
O: 0.710 0.269 0.269
O: 0.731 0.290 0.731
O: 0.731 0.731 0.290

***

# 6
BaPm3B4O12 | PBE | optimized geometry

Calculated values
- Final energy: -159.71 eV/cell
- Total magnetic moment: 1.08 μB per cell

a = 6.791 Å, b = 6.791 Å, c = 6.791 Å
α = 101.31°, β = 101.31°, γ = 101.31°
Element x y z (fractional)
Ba: 0.000 0.000 0.000
Pm: 0.000 0.538 0.462
Pm: 0.462 0.000 0.538
Pm: 0.538 0.462 0.000
B: 0.039 0.500 0.961
B: 0.500 0.500 0.500
B: 0.500 0.961 0.039
B: 0.961 0.039 0.500
O: 0.018 0.611 0.812
O: 0.093 0.907 0.500
O: 0.188 0.389 0.982
O: 0.368 0.632 0.500
O: 0.389 0.982 0.188
O: 0.500 0.093 0.907
O: 0.500 0.368 0.632
O: 0.611 0.812 0.018
O: 0.632 0.500 0.368
O: 0.812 0.018 0.611
O: 0.907 0.500 0.093
O: 0.982 0.188 0.389

***

# 7
BaPmBO4 | PBE | optimized geometry

Calculated values
- Final energy: -107.59 eV/cell
- Total magnetic moment: 0.00 μB per cell

a = 5.171 Å, b = 5.451 Å, c = 7.321 Å
α = 90.00°, β = 109.23°, γ = 90.00°
Element x y z (fractional)
Ba: 0.195 0.250 0.420
Ba: 0.805 0.750 0.580
Pm: 0.282 0.250 0.965
Pm: 0.718 0.750 0.035
B: 0.298 0.750 0.191
B: 0.702 0.250 0.809
O: 0.113 0.750 0.311
O: 0.140 0.750 0.974
O: 0.479 0.527 0.229
O: 0.479 0.973 0.229
O: 0.521 0.027 0.771
O: 0.521 0.473 0.771
O: 0.860 0.250 0.026
O: 0.887 0.250 0.689

***

# 8
Ba3PrB9O18 | PBE | optimized geometry

Calculated values
- Final energy: -487.63 eV/cell
- Total magnetic moment: 0.00 μB per cell

a = 7.310 Å, b = 7.310 Å, c = 17.873 Å
α = 90.00°, β = 90.00°, γ = 120.00°
Element x y z (fractional)
Ba: 0.000 0.000 0.250
Ba: 0.000 0.000 0.750
Ba: 0.333 0.667 0.135
Ba: 0.333 0.667 0.365
Ba: 0.667 0.333 0.635
Ba: 0.667 0.333 0.865
Pr: 0.000 0.000 0.000
Pr: 0.000 0.000 0.500
B: 0.118 0.623 0.750
B: 0.161 0.453 0.585
B: 0.161 0.453 0.915
B: 0.292 0.839 0.585
B: 0.292 0.839 0.915
B: 0.377 0.496 0.750
B: 0.453 0.292 0.085
B: 0.453 0.292 0.415
B: 0.496 0.118 0.250
B: 0.504 0.882 0.750
B: 0.547 0.708 0.585
B: 0.547 0.708 0.915
B: 0.623 0.504 0.250
B: 0.708 0.161 0.085
B: 0.708 0.161 0.415
B: 0.839 0.547 0.085
B: 0.839 0.547 0.415
B: 0.882 0.377 0.250
O: 0.002 0.743 0.085
O: 0.002 0.743 0.415
O: 0.078 0.411 0.250
O: 0.126 0.627 0.585
O: 0.126 0.627 0.915
O: 0.167 0.459 0.750
O: 0.257 0.259 0.085
O: 0.257 0.259 0.415
O: 0.259 0.002 0.585
O: 0.259 0.002 0.915
O: 0.292 0.833 0.750
O: 0.333 0.922 0.250
O: 0.373 0.500 0.585
O: 0.373 0.500 0.915
O: 0.411 0.333 0.750
O: 0.459 0.292 0.250
O: 0.500 0.126 0.085
O: 0.500 0.126 0.415
O: 0.500 0.874 0.585
O: 0.500 0.874 0.915
O: 0.541 0.708 0.750
O: 0.589 0.667 0.250
O: 0.627 0.500 0.085
O: 0.627 0.500 0.415
O: 0.667 0.078 0.750
O: 0.708 0.167 0.250
O: 0.741 0.998 0.085
O: 0.741 0.998 0.415
O: 0.743 0.741 0.585
O: 0.743 0.741 0.915
O: 0.833 0.541 0.250
O: 0.874 0.373 0.085
O: 0.874 0.373 0.415
O: 0.922 0.589 0.750
O: 0.998 0.257 0.585
O: 0.998 0.257 0.915

***

Repeat the seventh record exactly.
BaPmBO4 | PBE | optimized geometry

Calculated values
- Final energy: -107.59 eV/cell
- Total magnetic moment: 0.00 μB per cell

a = 5.171 Å, b = 5.451 Å, c = 7.321 Å
α = 90.00°, β = 109.23°, γ = 90.00°
Element x y z (fractional)
Ba: 0.195 0.250 0.420
Ba: 0.805 0.750 0.580
Pm: 0.282 0.250 0.965
Pm: 0.718 0.750 0.035
B: 0.298 0.750 0.191
B: 0.702 0.250 0.809
O: 0.113 0.750 0.311
O: 0.140 0.750 0.974
O: 0.479 0.527 0.229
O: 0.479 0.973 0.229
O: 0.521 0.027 0.771
O: 0.521 0.473 0.771
O: 0.860 0.250 0.026
O: 0.887 0.250 0.689